Entry 1:
BaMg2Ni: relaxed, PBE.

Structure (POSCAR):
```
BaMg2Ni
1.0
4.306 0.000 0.000
0.000 4.179 0.032
0.000 1.947 6.527
Ba Mg Ni
1 2 1
Cartesian
2.153 4.370 4.411
0.000 4.399 1.169
2.153 2.301 1.486
0.000 2.298 2.805
```

The total DFT energy (no corrections) comes out at -10.7 eV/cell. Its symmetry is No. 6. The value obtained for the volume is 29.30 Å³/atom. For the formation energy from the elements, the calculation gives 0.057 eV/atom. The value obtained for the total magnetization is 0.000 μB/f.u. For the density of states at the Fermi level, the calculation gives 2.51 states/eV/f.u.



Entry 2:
Sm2SnH: relaxed, PBE.

Structure (POSCAR):
```
Sm2SnH
1.0
-2.855 -1.978 -2.624
0.967 -0.615 -4.199
1.842 -6.229 -0.920
H Sn Sm
1 1 2
Cartesian
0.000 0.000 0.000
-0.023 -4.411 -3.871
-0.099 -2.014 -1.984
0.054 -6.807 -5.759
```

Its relative energy among the computed polymorphs is 0.3340 eV/atom. The total DFT energy (no corrections) comes out at -18.2 eV/cell. Its symmetry is No. 166. The value obtained for the volume is 24.86 Å³/atom. The value obtained for the total magnetization is 0.420 μB/f.u. For the density of states at the Fermi level, the calculation gives 3.10 states/eV/f.u.



Entry 3:
Ce5Ir2Ru: relaxed, PBE.

Structure (POSCAR):
```
Ce5Ir2Ru
1.0
5.565 0.000 0.000
-2.783 6.227 0.000
0.000 0.000 13.670
Ce Ir Ru
10 4 2
Cartesian
2.783 5.554 11.987
2.783 5.554 8.518
0.000 4.255 5.923
0.000 4.255 0.913
2.783 2.943 3.418
0.000 3.284 10.253
2.783 1.971 7.748
2.783 1.971 12.758
0.000 0.673 1.683
0.000 0.673 5.152
2.783 4.304 6.001
2.783 4.304 0.834
0.000 1.922 7.669
0.000 1.922 12.837
2.783 3.629 10.253
0.000 2.598 3.418
```

The total DFT energy (no corrections) comes out at -119.0 eV/cell. Its symmetry is No. 63. The value obtained for the volume is 29.61 Å³/atom. For the formation energy from the elements, the calculation gives -0.356 eV/atom. The value obtained for the total magnetization is 3.585 μB/f.u. For the density of states at the Fermi level, the calculation gives 24.99 states/eV/f.u.